# 1
The following is a DFT calculation (PBE) of crystalline Sm3Zn8Au3 at its relaxed geometry.

The structure in extended XYZ format:
```
14
Lattice="4.263 0.000 1.125 1.391 7.386 3.369 0.047 -0.182 8.465" Properties=species:S:1:pos:R:3 pbc="T T T"
Zn 3.097 5.034 5.547
Zn 2.605 2.170 7.411
Zn 4.230 7.132 9.894
Zn 0.807 0.949 5.583
Zn 4.895 6.255 7.375
Zn 1.472 0.072 3.064
Zn 1.389 4.193 3.377
Zn 4.313 3.011 9.581
Sm 3.417 2.092 4.335
Sm 0.000 0.000 0.000
Sm 2.285 5.111 8.623
Au 3.827 5.043 11.421
Au 1.875 2.161 1.537
Au 0.719 3.602 5.917
```

Volume ... 268 Å³ per cell
Distance to the lowest polymorph of the same formula ... 0.00 eV per formula unit
DOS at the Fermi energy ... 0.516 states/eV/atom
Space-group type ... C2/m, No. 12
ΔE_f ... -0.475 eV/atom

=====

# 2
The following is a DFT calculation (PBE) of crystalline Er3Sc2S8 at its relaxed geometry.

The structure in extended XYZ format:
```
13
Lattice="6.530 0.000 0.200 0.000 7.671 0.000 -2.417 -3.835 6.162" Properties=species:S:1:pos:R:3 pbc="T T T"
Er 0.000 2.010 0.000
Er 0.000 5.661 0.000
Er 3.265 0.000 0.100
Sc 0.963 0.000 3.243
Sc 3.151 3.835 3.119
S 2.087 5.846 1.674
S 2.027 2.011 4.688
S 2.087 1.824 1.674
S 2.027 -2.011 4.688
S 5.180 3.835 1.600
S 5.492 0.000 1.690
S -1.379 3.835 4.672
S -1.066 0.000 4.762
```

Volume ... 312 Å³ per cell
DOS at the Fermi energy ... 0.509 states/eV/atom
Space-group type ... C2/m, No. 12
Final energy ... -6.33 eV/atom

=====

# 3
The following is a DFT calculation (PBE) of crystalline SbH2I at its relaxed geometry.

The structure in extended XYZ format:
```
8
Lattice="-2.054 4.058 -1.904 -1.286 -2.145 -5.695 -7.173 -2.776 0.189" Properties=species:S:1:pos:R:3 pbc="T T T"
I -2.213 -0.766 -4.942
I -4.201 1.844 -2.171
H -6.736 -1.070 -2.987
H -4.921 1.298 -7.412
H -4.435 -1.955 -3.146
H -8.570 -1.205 -6.753
Sb -5.959 -2.574 -2.585
Sb -6.562 -3.641 -5.461
```

Volume ... 223 Å³ per cell
Distance to the lowest polymorph of the same formula ... 0.64 eV per formula unit
DOS at the Fermi energy ... 0.000 states/eV/atom
Space-group type ... P1, No. 1

=====

# 4
The following is a DFT calculation (PBE) of crystalline NdY5Hg6 at its relaxed geometry.

The structure in extended XYZ format:
```
12
Lattice="5.165 0.002 -1.068 -0.003 7.530 -0.001 -0.942 0.000 8.316" Properties=species:S:1:pos:R:3 pbc="T T T"
Y 3.129 7.532 2.078
Y 1.100 3.766 5.218
Y 3.120 3.767 2.029
Y -0.002 3.765 0.000
Y 1.091 0.001 5.169
Hg 0.553 1.924 2.640
Hg 3.667 5.609 4.607
Hg 2.582 1.930 -0.534
Hg 3.669 1.926 4.607
Hg 1.638 5.603 7.781
Hg 0.551 5.607 2.640
Nd 0.000 0.000 0.000
```

Volume ... 316 Å³ per cell
DOS at the Fermi energy ... 1.034 states/eV/atom
Space-group type ... P2/m, No. 10
ΔE_f ... -0.500 eV/atom

=====

# 5
The following is a DFT calculation (PBE) of crystalline MnB3Pb at its relaxed geometry.

The structure in extended XYZ format:
```
5
Lattice="4.535 0.000 0.000 0.000 4.535 0.000 0.000 0.000 4.535" Properties=species:S:1:pos:R:3 pbc="T T T"
Pb 0.000 0.000 0.000
Mn 2.267 2.267 2.267
B 0.000 2.267 0.000
B 0.000 0.000 2.267
B 2.267 0.000 0.000
```

Volume ... 93 Å³ per cell
Distance to the lowest polymorph of the same formula ... 11.19 eV per formula unit
DOS at the Fermi energy ... 1.566 states/eV/atom
Space-group type ... Pm-3m, No. 221
ΔE_f ... 3.141 eV/atom

=====

# 6
The following is a DFT calculation (PBE) of crystalline Tb2CeNdIn4 at its relaxed geometry.

The structure in extended XYZ format:
```
8
Lattice="5.404 0.000 0.000 2.702 4.680 0.000 2.702 1.560 8.850" Properties=species:S:1:pos:R:3 pbc="T T T"
In 5.404 3.120 7.745
In 8.106 4.680 3.318
In 5.404 3.120 1.105
In 2.702 1.560 5.532
Tb 8.106 4.680 6.638
Tb 2.702 1.560 2.212
Ce 5.404 3.120 4.425
Nd 0.000 0.000 0.000
```

Volume ... 224 Å³ per cell
DOS at the Fermi energy ... 1.169 states/eV/atom
Space-group type ... R-3m, No. 166
ΔE_f ... -0.443 eV/atom